First-principles (PBE) data for crystalline Ga2Pt2Rh at its relaxed geometry, as listed in Alexandria via LeMat-Bulk.

- Offset from the most stable computed form: 0.1317 eV/atom
- Total magnetization: 0.00 Bohr magnetons per cell
- Symmetry: P4/mbm, No. 127
- Energy of formation: -0.424 eV/atom

Cell: 7.3016 7.3016 2.8742 Å, 90.00 90.00 90.00°
Positions (direct):
1 Ga 0.1548 0.3452 0.0000
2 Ga 0.3452 0.8452 0.0000
3 Ga 0.6548 0.1548 0.0000
4 Ga 0.8452 0.6548 0.0000
5 Pt 0.1445 0.6445 0.5000
6 Pt 0.3555 0.1445 0.5000
7 Pt 0.6445 0.8555 0.5000
8 Pt 0.8555 0.3555 0.5000
9 Rh 0.0000 0.0000 0.0000
10 Rh 0.5000 0.5000 0.0000